1.
A PBEsol-optimized structure of LaCo2Re. Source: Alexandria via LeMat-Bulk, functional meta-GGA SCAN.

Computed properties:
For the density, the calculation gives 11.70 Mg/m³. For the calculated total energy, the calculation gives -36.967 eV/atom. The value obtained for the calculated formation energy is 0.942 eV/f.u. The density of states at the Fermi level comes out at 3.39 states/eV per cell. The volume is 15.7 A^3/atom.

Lattice parameters (Å, degrees): 2.960 2.960 7.177 90.00 90.00 90.00
Space group P4/mmm (No. 123)
Symmetry-distinct sites (fractional):
La1 0.000 0.000 0.000 (multiplicity 1)
Co1 0.500 0.500 0.312 (multiplicity 2)
Re1 0.000 0.000 0.500 (multiplicity 1)

2.
A PBEsol-optimized structure of La2CoRe. Source: Alexandria via LeMat-Bulk, functional meta-GGA SCAN.

Computed properties:
For the density, the calculation gives 10.22 Mg/m³. For the calculated total energy, the calculation gives -42.906 eV/atom. The value obtained for the calculated formation energy is 2.989 eV/f.u. The density of states at the Fermi level comes out at 9.38 states/eV per cell. The volume is 21.2 A^3/atom.

Lattice parameters (Å, degrees): 3.4609 3.4609 24.5635 90.00 90.00 120.00
Space group R-3m (No. 166, hexagonal axes)
Symmetry-distinct sites (fractional):
La1 0.0000 0.0000 0.2443 (multiplicity 6)
Co1 0.0000 0.0000 0.5000 (multiplicity 3)
Re1 0.0000 0.0000 0.0000 (multiplicity 3)

3.
A PBEsol-optimized structure of LaCo2Re. Source: Alexandria via LeMat-Bulk, functional meta-GGA SCAN.

Computed properties:
For the density, the calculation gives 12.25 Mg/m³. For the calculated total energy, the calculation gives -36.518 eV/atom. The value obtained for the calculated formation energy is 2.738 eV/f.u. The density of states at the Fermi level comes out at 4.78 states/eV per cell. The volume is 15.0 A^3/atom.

Lattice parameters (Å, degrees): 4.647 4.647 2.782 90.00 90.00 90.00
Space group P4/mmm (No. 123)
Symmetry-distinct sites (fractional):
La1 0.000 0.000 0.000 (multiplicity 1)
Co1 0.000 0.500 0.500 (multiplicity 2)
Re1 0.500 0.500 0.000 (multiplicity 1)

4.
A PBEsol-optimized structure of LaCoRu2. Source: Alexandria via LeMat-Bulk, functional meta-GGA SCAN.

Computed properties:
For the density, the calculation gives 10.49 Mg/m³. For the calculated total energy, the calculation gives -32.059 eV/atom. The value obtained for the calculated formation energy is 1.827 eV/f.u. The density of states at the Fermi level comes out at 3.60 states/eV per cell. The volume is 15.8 A^3/atom.

Lattice parameters (Å, degrees): 3.956 3.956 4.047 90.00 90.00 90.00
Space group P4/mmm (No. 123)
Symmetry-distinct sites (fractional):
La1 0.000 0.000 0.000 (multiplicity 1)
Co1 0.500 0.500 0.000 (multiplicity 1)
Ru1 0.000 0.500 0.500 (multiplicity 2)

5.
A PBEsol-optimized structure of LaCo3Ru. Source: Alexandria via LeMat-Bulk, functional meta-GGA SCAN.

Computed properties:
For the density, the calculation gives 8.00 Mg/m³. For the calculated total energy, the calculation gives -25.186 eV/atom. The value obtained for the calculated formation energy is 3.916 eV/f.u. The density of states at the Fermi level comes out at 5.59 states/eV per cell. The volume is 17.3 A^3/atom.

Lattice parameters (Å, degrees): 4.422 4.422 4.422 90.00 90.00 90.00
Space group Pm-3m (No. 221)
Symmetry-distinct sites (fractional):
La1 0.000 0.000 0.000 (multiplicity 1)
Co1 0.000 0.500 0.500 (multiplicity 3)
Ru1 0.500 0.500 0.500 (multiplicity 1)

6.
A PBEsol-optimized structure of LaCo3S. Source: Alexandria via LeMat-Bulk, functional meta-GGA SCAN.

Computed properties:
The formation energy from raw total energies comes out at 8.45 eV per formula unit. For the density, the calculation gives 6.36 Mg/m³. For the calculated total energy, the calculation gives -19.240 eV/atom. The density of states at the Fermi level comes out at 2.37 states/eV per cell. The volume is 18.2 A^3/atom.

Lattice parameters (Å, degrees): 4.496 4.496 4.496 90.00 90.00 90.00
Space group Pm-3m (No. 221)
Symmetry-distinct sites (fractional):
La1 0.000 0.000 0.000 (multiplicity 1)
Co1 0.000 0.000 0.500 (multiplicity 3)
S1 0.500 0.500 0.500 (multiplicity 1)

7.
A PBEsol-optimized structure of LaCo2SnS. Source: Alexandria via LeMat-Bulk, functional meta-GGA SCAN.

Computed properties:
The formation energy from raw total energies comes out at -0.81 eV per formula unit. For the density, the calculation gives 6.73 Mg/m³. For the calculated total energy, the calculation gives -24.814 eV/atom. The density of states at the Fermi level comes out at 3.26 states/eV per cell. The volume is 20.1 A^3/atom.

Lattice parameters (Å, degrees): 4.320 4.320 5.385 90.00 90.00 90.00
Space group P4/mmm (No. 123)
Symmetry-distinct sites (fractional):
La1 0.000 0.000 0.000 (multiplicity 1)
Co1 0.000 0.500 0.500 (multiplicity 2)
Sn1 0.500 0.500 0.000 (multiplicity 1)
S1 0.000 0.000 0.500 (multiplicity 1)

8.
A PBEsol-optimized structure of LaCoSb3. Source: Alexandria via LeMat-Bulk, functional meta-GGA SCAN.

Computed properties:
The formation energy from raw total energies comes out at -2.92 eV per formula unit. For the density, the calculation gives 8.00 Mg/m³. For the calculated total energy, the calculation gives -35.021 eV/atom. The density of states at the Fermi level comes out at 10.23 states/eV per cell. The volume is 23.4 A^3/atom.

Lattice parameters (Å, degrees): 12.979 6.084 5.922 90.00 90.00 90.00
Space group Pbcm (No. 57)
Symmetry-distinct sites (fractional):
La1 0.199 0.000 0.250 (multiplicity 4)
Co1 0.410 0.250 0.000 (multiplicity 4)
Sb1 0.001 0.250 0.000 (multiplicity 4)
Sb2 0.294 0.000 0.750 (multiplicity 4)
Sb3 0.446 0.592 0.750 (multiplicity 4)

9.
A PBEsol-optimized structure of La3CoSb. Source: Alexandria via LeMat-Bulk, functional meta-GGA SCAN.

Computed properties:
The formation energy from raw total energies comes out at -2.88 eV per formula unit. For the density, the calculation gives 7.08 Mg/m³. For the calculated total energy, the calculation gives -37.352 eV/atom. The density of states at the Fermi level comes out at 3.86 states/eV per cell. The volume is 28.0 A^3/atom.

Lattice parameters (Å, degrees): 5.194 5.194 5.194 90.00 90.00 90.00
Space group Pm-3m (No. 221)
Symmetry-distinct sites (fractional):
La1 0.000 0.000 0.500 (multiplicity 3)
Co1 0.000 0.000 0.000 (multiplicity 1)
Sb1 0.500 0.500 0.500 (multiplicity 1)

10.
A PBEsol-optimized structure of LaCoSb2. Source: Alexandria via LeMat-Bulk, functional meta-GGA SCAN.

Computed properties:
The formation energy from raw total energies comes out at -2.93 eV per formula unit. For the density, the calculation gives 7.83 Mg/m³. For the calculated total energy, the calculation gives -34.464 eV/atom. The density of states at the Fermi level comes out at 4.11 states/eV per cell. The volume is 23.4 A^3/atom.

Lattice parameters (Å, degrees): 4.345 4.345 9.923 90.00 90.00 90.00
Space group P4/nmm (No. 129, origin choice 2)
Symmetry-distinct sites (fractional):
La1 0.250 0.250 0.241 (multiplicity 2)
Co1 0.250 0.750 0.000 (multiplicity 2)
Sb1 0.250 0.250 0.871 (multiplicity 2)
Sb2 0.250 0.750 0.500 (multiplicity 2)

11.
A PBEsol-optimized structure of LaCoSb2. Source: Alexandria via LeMat-Bulk, functional meta-GGA SCAN.

Computed properties:
The formation energy from raw total energies comes out at -0.35 eV per formula unit. For the density, the calculation gives 7.85 Mg/m³. For the calculated total energy, the calculation gives -33.819 eV/atom. The density of states at the Fermi level comes out at 7.63 states/eV per cell. The volume is 23.3 A^3/atom.

Lattice parameters (Å, degrees): 7.201 7.201 7.201 90.00 90.00 90.00
Space group F-43m (No. 216)
Symmetry-distinct sites (fractional):
La1 0.000 0.000 0.000 (multiplicity 4)
Co1 0.250 0.250 0.250 (multiplicity 4)
Sb1 0.000 0.000 0.500 (multiplicity 4)
Sb2 0.250 0.250 0.750 (multiplicity 4)

12.
A PBEsol-optimized structure of LaCoSb2. Source: Alexandria via LeMat-Bulk, functional meta-GGA SCAN.

Computed properties:
The formation energy from raw total energies comes out at -1.02 eV per formula unit. For the density, the calculation gives 7.90 Mg/m³. For the calculated total energy, the calculation gives -33.988 eV/atom. The density of states at the Fermi level comes out at 2.74 states/eV per cell. The volume is 23.2 A^3/atom.

Lattice parameters (Å, degrees): 3.313 3.991 14.035 90.00 90.00 90.00
Space group Imm2 (No. 44)
Symmetry-distinct sites (fractional):
La1 0.000 0.000 0.000 (multiplicity 2)
Co1 0.000 0.500 0.731 (multiplicity 2)
Sb1 0.000 0.000 0.367 (multiplicity 2)
Sb2 0.000 0.500 0.177 (multiplicity 2)

13.
A PBEsol-optimized structure of LaCo2Sb. Source: Alexandria via LeMat-Bulk, functional meta-GGA SCAN.

Computed properties:
The formation energy from raw total energies comes out at -0.87 eV per formula unit. For the density, the calculation gives 8.18 Mg/m³. For the calculated total energy, the calculation gives -28.961 eV/atom. The density of states at the Fermi level comes out at 5.56 states/eV per cell. The volume is 19.2 A^3/atom.

Lattice parameters (Å, degrees): 4.191 4.931 7.440 90.00 90.00 90.00
Space group Amm2 (No. 38)
Symmetry-distinct sites (fractional):
La1 0.000 0.000 0.000 (multiplicity 2)
Co1 0.000 0.000 0.438 (multiplicity 2)
Co2 0.500 0.000 0.308 (multiplicity 2)
Sb1 0.500 0.000 0.654 (multiplicity 2)

14.
A PBEsol-optimized structure of LaCoSb2. Source: Alexandria via LeMat-Bulk, functional meta-GGA SCAN.

Computed properties:
The formation energy from raw total energies comes out at -0.65 eV per formula unit. For the density, the calculation gives 7.76 Mg/m³. For the calculated total energy, the calculation gives -33.895 eV/atom. The density of states at the Fermi level comes out at 4.43 states/eV per cell. The volume is 23.6 A^3/atom.

Lattice parameters (Å, degrees): 4.402 4.402 9.751 90.00 90.00 90.00
Space group I4/mmm (No. 139)
Symmetry-distinct sites (fractional):
La1 0.000 0.000 0.000 (multiplicity 2)
Co1 0.000 0.000 0.500 (multiplicity 2)
Sb1 0.000 0.500 0.250 (multiplicity 4)

15.
A PBEsol-optimized structure of LaCoTcSb2. Source: Alexandria via LeMat-Bulk, functional meta-GGA SCAN.

Computed properties:
The formation energy from raw total energies comes out at 1.05 eV per formula unit. For the density, the calculation gives 8.20 Mg/m³. For the calculated total energy, the calculation gives -33.788 eV/atom. The density of states at the Fermi level comes out at 4.70 states/eV per cell. The volume is 21.8 A^3/atom.

Lattice parameters (Å, degrees): 4.918 4.918 4.512 90.00 90.00 90.00
Space group P4/mmm (No. 123)
Symmetry-distinct sites (fractional):
La1 0.000 0.000 0.000 (multiplicity 1)
Co1 0.500 0.500 0.500 (multiplicity 1)
Tc1 0.500 0.500 0.000 (multiplicity 1)
Sb1 0.000 0.500 0.500 (multiplicity 2)

16.
A PBEsol-optimized structure of LaCoSbTe2. Source: Alexandria via LeMat-Bulk, functional meta-GGA SCAN.

Computed properties:
The formation energy from raw total energies comes out at 3.72 eV per formula unit. For the density, the calculation gives 4.47 Mg/m³. For the calculated total energy, the calculation gives -33.690 eV/atom. The density of states at the Fermi level comes out at 6.98 states/eV per cell. The volume is 42.8 A^3/atom.

Lattice parameters (Å, degrees): 5.979 5.979 5.979 90.00 90.00 90.00
Space group P4/mmm (No. 123)
Symmetry-distinct sites (fractional):
La1 0.000 0.000 0.000 (multiplicity 1)
Co1 0.500 0.500 0.500 (multiplicity 1)
Sb1 0.000 0.000 0.500 (multiplicity 1)
Te1 0.000 0.500 0.000 (multiplicity 2)

17.
A PBEsol-optimized structure of LaSc2Co. Source: Alexandria via LeMat-Bulk, functional meta-GGA SCAN.

Computed properties:
For the density, the calculation gives 5.14 Mg/m³. For the calculated total energy, the calculation gives -22.060 eV/atom. The value obtained for the calculated formation energy is 0.645 eV/f.u. The density of states at the Fermi level comes out at 12.61 states/eV per cell. The volume is 23.3 A^3/atom.

Lattice parameters (Å, degrees): 3.3359 3.3359 28.9590 90.00 90.00 120.00
Space group R-3m (No. 166, hexagonal axes)
Symmetry-distinct sites (fractional):
La1 0.0000 0.0000 0.0000 (multiplicity 3)
Sc1 0.0000 0.0000 0.1136 (multiplicity 6)
Co1 0.0000 0.0000 0.5000 (multiplicity 3)

18.
A PBEsol-optimized structure of La2ScCo. Source: Alexandria via LeMat-Bulk, functional meta-GGA SCAN.

Computed properties:
For the density, the calculation gives 6.90 Mg/m³. For the calculated total energy, the calculation gives -29.036 eV/atom. The value obtained for the calculated formation energy is 1.607 eV/f.u. The density of states at the Fermi level comes out at 8.84 states/eV per cell. The volume is 23.0 A^3/atom.

Lattice parameters (Å, degrees): 4.208 4.208 10.379 90.00 90.00 90.00
Space group I-4m2 (No. 119)
Symmetry-distinct sites (fractional):
La1 0.000 0.000 0.000 (multiplicity 2)
La2 0.000 0.500 0.250 (multiplicity 2)
Sc1 0.000 0.000 0.500 (multiplicity 2)
Co1 0.000 0.500 0.750 (multiplicity 2)

19.
A PBEsol-optimized structure of LaSc4Co. Source: Alexandria via LeMat-Bulk, functional meta-GGA SCAN.

Computed properties:
For the density, the calculation gives 4.52 Mg/m³. For the calculated total energy, the calculation gives -18.920 eV/atom. The value obtained for the calculated formation energy is 3.838 eV/f.u. The density of states at the Fermi level comes out at 30.28 states/eV per cell. The volume is 23.1 A^3/atom.

Lattice parameters (Å, degrees): 8.220 8.220 8.220 90.00 90.00 90.00
Space group F-43m (No. 216)
Symmetry-distinct sites (fractional):
La1 0.000 0.000 0.000 (multiplicity 4)
Sc1 0.124 0.124 0.376 (multiplicity 16)
Co1 0.250 0.250 0.750 (multiplicity 4)

20.
A PBEsol-optimized structure of La2ScCo. Source: Alexandria via LeMat-Bulk, functional meta-GGA SCAN.

Computed properties:
For the density, the calculation gives 6.38 Mg/m³. For the calculated total energy, the calculation gives -29.381 eV/atom. The value obtained for the calculated formation energy is 0.226 eV/f.u. The density of states at the Fermi level comes out at 9.04 states/eV per cell. The volume is 24.8 A^3/atom.

Lattice parameters (Å, degrees): 3.480 5.439 10.499 90.00 90.00 90.00
Space group Imm2 (No. 44)
Symmetry-distinct sites (fractional):
La1 0.000 0.000 0.000 (multiplicity 2)
La2 0.000 0.500 0.184 (multiplicity 2)
Sc1 0.000 0.500 0.814 (multiplicity 2)
Co1 0.000 0.000 0.485 (multiplicity 2)